Record 1
DFT (PBEsol) results for a relaxed structure of SrRhO3.

It has space group Pnma (No. 62), with a = 5.545 Å, b = 7.809 Å, c = 5.525 Å, α = 90.00°, β = 90.00° and γ = 90.00°. The asymmetric unit holds Sr at (0.039, 0.250, 0.007), Rh at (0.000, 0.000, 0.500), O at (0.011, 0.750, 0.428) and O at (0.209, 0.537, 0.792).

As for the raw total energy: -6.822 eV per atom. The calculation puts the density at 6.62 Mg/m³. The energy relative to the elements, uncorrected comes out at -1677 meV per atom.

Record 2
DFT (PBEsol) results for a relaxed structure of Sr2TlCd2.

It has space group P4/mbm (No. 127), with a = 8.324 Å, b = 8.324 Å, c = 4.455 Å, α = 90.00°, β = 90.00° and γ = 90.00°. The asymmetric unit holds Sr at (0.179, 0.321, 0.000), Tl at (0.000, 0.000, 0.500) and Cd at (0.121, 0.621, 0.500).

As for the raw total energy: -2.028 eV per atom. The calculation puts the density at 6.50 Mg/m³. As for the formation energy: -0.287 eV per atom.

Record 3
DFT (PBEsol) results for a relaxed structure of TaCSe3.

It has space group Pm-3m (No. 221), with a = 4.276 Å, b = 4.276 Å, c = 4.276 Å, α = 90.00°, β = 90.00° and γ = 90.00°. The asymmetric unit holds Ta at (0.000, 0.000, 0.000), C at (0.500, 0.500, 0.500) and Se at (0.000, 0.500, 0.500).

As for the raw total energy: -5.766 eV per atom. The calculation puts the energy above the most stable polymorph in this dataset at 0.00 eV/f.u. The calculation puts the density at 9.13 Mg/m³. The energy relative to the elements, uncorrected comes out at 984 meV per atom.